[1]
This record from the Alexandria database describes a relaxed structure of BSbP. The functional is PBE.

Unit cell a=3.2076 b=5.1208 c=8.3455 alpha=105.59 beta=90.53 gamma=108.21
With the nearest neighbours (Å) after each atom.
Fractional coordinates of all 6 atoms:
B  0.1611  0.3263  0.3684  3 P 1.96-2.02
B  0.8389  0.6737  0.6316  3 P 1.96-2.02
Sb  0.0655  0.1174  0.8223  1 B 2.29
Sb  0.9345  0.8826  0.1777  1 B 2.29
P  0.2211  0.4383  0.6215  3 B 1.96-2.02
P  0.7789  0.5617  0.3785  3 B 1.96-2.02

Properties
Symmetry ... P-1, No. 2
ΔE_f (raw) ... 107 meV per atom



[2]
This record from the Alexandria database describes a relaxed structure of FeRe3N. The functional is PBE.

Unit cell a=4.3798 b=4.3798 c=4.3798 alpha=90.00 beta=90.00 gamma=90.00
With the nearest neighbours (Å) after each atom.
Fractional coordinates of all 5 atoms:
Fe  0.0000  0.0000  0.0000  6 Re 2.19
Re  0.0000  0.0000  0.5000  2 Fe 2.19
Re  0.0000  0.5000  0.0000  2 Fe 2.19
Re  0.5000  0.0000  0.0000  2 Fe 2.19
N  0.5000  0.5000  0.5000  12 Re 3.10

Properties
Polymorph energy (0 for the lowest one) ... 2.4225 eV per atom
Symmetry ... Pm-3m, No. 221
ΔE_f (raw) ... 2753 meV per atom



[3]
This record from the Alexandria database describes a relaxed structure of VTe. The functional is PBE.

Unit cell a=3.4795 b=6.6352 c=6.6352 alpha=119.56 beta=90.00 gamma=90.00
With the nearest neighbours (Å) after each atom.
Fractional coordinates of all 6 atoms:
V  0.0000  0.0000  0.0000  4 Te 2.66-2.67, 4 V 2.72
V  0.5000  0.2202  0.8584  5 Te 2.71-2.74, 2 V 2.72
V  0.5000  0.8584  0.2202  5 Te 2.71-2.74, 2 V 2.72
Te  0.0000  0.5562  0.8947  5 V 2.67-2.74
Te  0.0000  0.8947  0.5562  5 V 2.67-2.74
Te  0.5000  0.3004  0.3004  4 V 2.66-2.71

Properties
Symmetry ... Amm2, No. 38
ΔE_f (raw) ... -128 meV per atom



[4]
This record from the Alexandria database describes a relaxed structure of Cu3BPt. The functional is PBE.

Unit cell a=4.6970 b=4.6970 c=4.6970 alpha=90.00 beta=90.00 gamma=90.00
With the nearest neighbours (Å) after each atom.
Fractional coordinates of all 5 atoms:
Cu  0.0000  0.0000  0.5000  2 Pt 2.35
Cu  0.0000  0.5000  0.0000  2 Pt 2.35
Cu  0.5000  0.0000  0.0000  2 Pt 2.35
B  0.5000  0.5000  0.5000  12 Cu 3.32
Pt  0.0000  0.0000  0.0000  6 Cu 2.35

Properties
Polymorph energy (0 for the lowest one) ... 1.4465 eV per atom
Symmetry ... Pm-3m, No. 221
ΔH_f (0 K) ... 1.669 eV/atom



[5]
This record from the Alexandria database describes a relaxed structure of CaTa2Hg. The functional is PBE.

Unit cell a=3.0821 b=5.4690 c=5.1684 alpha=90.00 beta=93.76 gamma=90.00
With the nearest neighbours (Å) after each atom.
Fractional coordinates of all 4 atoms:
Ca  0.0000  0.0000  0.0000  4 Hg 2.92-3.09, 2 Ca 3.08, 4 Ta 3.27
Ta  0.3654  0.5000  0.7460  2 Ta 2.70-2.73
Ta  0.6346  0.5000  0.2540  2 Ta 2.70-2.73
Hg  0.5000  0.0000  0.5000  4 Ca 2.92-3.09, 4 Ta 3.06, 2 Hg 3.08

Properties
Symmetry ... P2/m, No. 10
ΔH_f (0 K) ... 0.465 eV/atom



[6]
This record from the Alexandria database describes a relaxed structure of PmIBrO4. The functional is PBE.

Unit cell a=6.6137 b=6.6137 c=6.6560 alpha=92.73 beta=92.73 gamma=64.40
With the nearest neighbours (Å) after each atom.
Fractional coordinates of all 14 atoms:
Pm  0.2330  0.2330  0.1685  4 O 2.20-2.42
Pm  0.7670  0.7670  0.8315  4 O 2.20-2.42
I  0.1242  0.1242  0.6649  4 O 1.87-2.01
I  0.8758  0.8758  0.3351  4 O 1.87-2.01
Br  0.4423  0.4423  0.8387  1 Br 2.44
Br  0.5577  0.5577  0.1613  1 Br 2.44
O  0.0128  0.6344  0.1532  1 I 1.87
O  0.0441  0.0441  0.2432  1 I 2.01, 1 Pm 2.20
O  0.2748  0.2748  0.5196  1 I 1.99
O  0.3656  0.9872  0.8468  1 I 1.87
O  0.6344  0.0128  0.1532  1 I 1.87
O  0.7252  0.7252  0.4804  1 I 1.99
O  0.9559  0.9559  0.7568  1 I 2.01, 1 Pm 2.20
O  0.9872  0.3656  0.8468  1 I 1.87

Properties
Symmetry ... C2/m, No. 12
ΔE_f (raw) ... -1294 meV per atom